i) First-principles (PBE) data for a geometry-optimized TaBeV3 structure, as listed in the Alexandria database.

Unit cell a=4.154 b=4.154 c=4.154 alpha=90.00 beta=90.00 gamma=90.00
Element x y z (fractional)
Ta 0.000 0.000 0.000
Be 0.500 0.500 0.500
V 0.000 0.500 0.500
V 0.500 0.000 0.500
V 0.500 0.500 0.000

DOS at the Fermi energy = 0.6837 states/eV/atom

***

ii) First-principles (PBE) data for a geometry-optimized TaBeV3 structure, as listed in the Alexandria database.

Unit cell a=4.578 b=4.578 c=4.578 alpha=90.00 beta=90.00 gamma=90.00
Element x y z (fractional)
Ta 0.000 0.000 0.000
Be 0.500 0.500 0.500
V 0.000 0.000 0.500
V 0.000 0.500 0.000
V 0.500 0.000 0.000

DOS at the Fermi energy = 1.8000 states/eV/atom

***

How do the energies compare? Relative to the most stable structure, in meV/atom: i) 0; ii) 1216.

***

i) First-principles (PBE) data for a geometry-optimized TaBe2V structure, as listed in the Alexandria database.

Unit cell a=6.459 b=6.459 c=4.912 alpha=90.00 beta=90.00 gamma=90.00
Element x y z (fractional)
Ta 0.000 0.000 0.000
Ta 0.000 0.500 0.250
Ta 0.500 0.000 0.750
Ta 0.500 0.500 0.500
Be 0.234 0.250 0.625
Be 0.250 0.734 0.875
Be 0.250 0.766 0.375
Be 0.266 0.250 0.125
Be 0.734 0.750 0.125
Be 0.750 0.234 0.375
Be 0.750 0.266 0.875
Be 0.766 0.750 0.625
V 0.000 0.000 0.500
V 0.000 0.500 0.750
V 0.500 0.000 0.250
V 0.500 0.500 0.000

DOS at the Fermi energy = 0.6404 states/eV/atom

***

ii) First-principles (PBE) data for a geometry-optimized TaBe2V structure, as listed in the Alexandria database.

Unit cell a=3.749 b=3.749 c=3.490 alpha=90.00 beta=90.00 gamma=90.00
Element x y z (fractional)
Ta 0.000 0.000 0.000
Be 0.000 0.500 0.500
Be 0.500 0.000 0.500
V 0.500 0.500 0.000

DOS at the Fermi energy = 0.6345 states/eV/atom

***

iii) First-principles (PBE) data for a geometry-optimized TaBe2V structure, as listed in the Alexandria database.

Unit cell a=5.794 b=5.794 c=5.794 alpha=90.00 beta=90.00 gamma=90.00
Element x y z (fractional)
Ta 0.000 0.000 0.000
Ta 0.000 0.500 0.500
Ta 0.500 0.000 0.500
Ta 0.500 0.500 0.000
Be 0.250 0.250 0.250
Be 0.250 0.250 0.750
Be 0.250 0.750 0.250
Be 0.250 0.750 0.750
Be 0.750 0.250 0.250
Be 0.750 0.250 0.750
Be 0.750 0.750 0.250
Be 0.750 0.750 0.750
V 0.000 0.000 0.500
V 0.000 0.500 0.000
V 0.500 0.000 0.000
V 0.500 0.500 0.500

DOS at the Fermi energy = 0.9132 states/eV/atom

***

How do the energies compare? Relative to the most stable structure, in meV/atom: i) 430; ii) 0; iii) 100.

***

i) First-principles (PBE) data for a geometry-optimized Ta3BeV structure, as listed in the Alexandria database.

Unit cell a=4.604 b=4.604 c=4.604 alpha=90.00 beta=90.00 gamma=90.00
Element x y z (fractional)
Ta 0.000 0.000 0.500
Ta 0.000 0.500 0.000
Ta 0.500 0.000 0.000
Be 0.500 0.500 0.500
V 0.000 0.000 0.000

DOS at the Fermi energy = 1.2423 states/eV/atom

***

ii) First-principles (PBE) data for a geometry-optimized Ta3BeV structure, as listed in the Alexandria database.

Unit cell a=4.390 b=4.390 c=4.390 alpha=90.00 beta=90.00 gamma=90.00
Element x y z (fractional)
Ta 0.000 0.000 0.500
Ta 0.000 0.500 0.000
Ta 0.500 0.000 0.000
Be 0.000 0.000 0.000
V 0.500 0.500 0.500

DOS at the Fermi energy = 0.5806 states/eV/atom

***

How do the energies compare? Relative to the most stable structure, in meV/atom: i) 752; ii) 0.

***

i) First-principles (PBE) data for a geometry-optimized TaBe3W structure, as listed in the Alexandria database.

Unit cell a=4.176 b=4.176 c=4.176 alpha=90.00 beta=90.00 gamma=90.00
Element x y z (fractional)
Ta 0.000 0.000 0.000
Be 0.000 0.000 0.500
Be 0.000 0.500 0.000
Be 0.500 0.000 0.000
W 0.500 0.500 0.500

DOS at the Fermi energy = 1.2413 states/eV/atom

***

ii) First-principles (PBE) data for a geometry-optimized TaBe3W structure, as listed in the Alexandria database.

Unit cell a=4.144 b=4.144 c=4.144 alpha=90.00 beta=90.00 gamma=90.00
Element x y z (fractional)
Ta 0.000 0.000 0.000
Be 0.000 0.500 0.500
Be 0.500 0.000 0.500
Be 0.500 0.500 0.000
W 0.500 0.500 0.500

DOS at the Fermi energy = 0.4078 states/eV/atom

***

How do the energies compare? Relative to the most stable structure, in meV/atom: i) 676; ii) 0.

***

i) First-principles (PBE) data for a geometry-optimized Ta3BeW structure, as listed in the Alexandria database.

Unit cell a=4.848 b=4.848 c=4.848 alpha=90.00 beta=90.00 gamma=90.00
Element x y z (fractional)
Ta 0.000 0.000 0.500
Ta 0.000 0.500 0.000
Ta 0.500 0.000 0.000
Be 0.500 0.500 0.500
W 0.000 0.000 0.000

DOS at the Fermi energy = 0.7877 states/eV/atom

***

ii) First-principles (PBE) data for a geometry-optimized Ta3BeW structure, as listed in the Alexandria database.

Unit cell a=4.394 b=4.394 c=4.394 alpha=90.00 beta=90.00 gamma=90.00
Element x y z (fractional)
Ta 0.000 0.000 0.500
Ta 0.000 0.500 0.000
Ta 0.500 0.000 0.000
Be 0.000 0.000 0.000
W 0.500 0.500 0.500

DOS at the Fermi energy = 0.6746 states/eV/atom

***

How do the energies compare? Relative to the most stable structure, in meV/atom: i) 1174; ii) 0.

***

i) First-principles (PBE) data for a geometry-optimized YTaBe structure, as listed in the Alexandria database.

Unit cell a=3.209 b=3.209 c=6.514 alpha=90.00 beta=90.00 gamma=120.00
Element x y z (fractional)
Y 0.000 0.000 0.000
Ta 0.333 0.667 0.599
Be 0.667 0.333 0.331

DOS at the Fermi energy = 0.6142 states/eV/atom

***

ii) First-principles (PBE) data for a geometry-optimized YTaBe structure, as listed in the Alexandria database.

Unit cell a=3.080 b=3.080 c=11.804 alpha=90.00 beta=90.00 gamma=90.00
Element x y z (fractional)
Y 0.000 0.000 0.000
Y 0.500 0.500 0.500
Ta 0.000 0.000 0.298
Ta 0.500 0.500 0.798
Be 0.000 0.000 0.676
Be 0.500 0.500 0.176

DOS at the Fermi energy = 0.8801 states/eV/atom

***

iii) First-principles (PBE) data for a geometry-optimized YTaBe structure, as listed in the Alexandria database.

Unit cell a=6.573 b=6.573 c=6.573 alpha=90.00 beta=90.00 gamma=90.00
Element x y z (fractional)
Y 0.000 0.000 0.000
Y 0.000 0.500 0.500
Y 0.500 0.000 0.500
Y 0.500 0.500 0.000
Ta 0.250 0.250 0.750
Ta 0.250 0.750 0.250
Ta 0.750 0.250 0.250
Ta 0.750 0.750 0.750
Be 0.250 0.250 0.250
Be 0.250 0.750 0.750
Be 0.750 0.250 0.750
Be 0.750 0.750 0.250

DOS at the Fermi energy = 1.3247 states/eV/atom

***

How do the energies compare? Relative to the most stable structure, in meV/atom: i) 231; ii) 0; iii) 1441.

***

i) First-principles (PBE) data for a geometry-optimized YTa2Be2 structure, as listed in the Alexandria database.

Unit cell a=7.453 b=7.453 c=2.994 alpha=90.00 beta=90.00 gamma=90.00
Element x y z (fractional)
Y 0.000 0.000 0.000
Y 0.500 0.500 0.000
Ta 0.135 0.365 0.500
Ta 0.365 0.865 0.500
Ta 0.635 0.135 0.500
Ta 0.865 0.635 0.500
Be 0.159 0.659 0.000
Be 0.341 0.159 0.000
Be 0.659 0.841 0.000
Be 0.841 0.341 0.000

DOS at the Fermi energy = 0.8793 states/eV/atom

***

ii) First-principles (PBE) data for a geometry-optimized YTa2Be2 structure, as listed in the Alexandria database.

Unit cell a=3.944 b=3.944 c=11.171 alpha=90.00 beta=90.00 gamma=90.00
Element x y z (fractional)
Y 0.000 0.000 0.000
Y 0.500 0.500 0.500
Ta 0.000 0.500 0.250
Ta 0.000 0.500 0.750
Ta 0.500 0.000 0.250
Ta 0.500 0.000 0.750
Be 0.000 0.000 0.400
Be 0.000 0.000 0.600
Be 0.500 0.500 0.100
Be 0.500 0.500 0.900

DOS at the Fermi energy = 0.9673 states/eV/atom

***

How do the energies compare? Relative to the most stable structure, in meV/atom: i) 160; ii) 0.

***

i) First-principles (PBE) data for a geometry-optimized YTa3Be structure, as listed in the Alexandria database.

Unit cell a=4.905 b=4.905 c=4.905 alpha=90.00 beta=90.00 gamma=90.00
Element x y z (fractional)
Y 0.000 0.000 0.000
Ta 0.000 0.000 0.500
Ta 0.000 0.500 0.000
Ta 0.500 0.000 0.000
Be 0.500 0.500 0.500

DOS at the Fermi energy = 0.9642 states/eV/atom

***

ii) First-principles (PBE) data for a geometry-optimized YTa3Be structure, as listed in the Alexandria database.

Unit cell a=4.602 b=4.602 c=4.602 alpha=90.00 beta=90.00 gamma=90.00
Element x y z (fractional)
Y 0.000 0.000 0.000
Ta 0.000 0.500 0.500
Ta 0.500 0.000 0.500
Ta 0.500 0.500 0.000
Be 0.500 0.500 0.500

DOS at the Fermi energy = 1.2234 states/eV/atom

***

How do the energies compare? Relative to the most stable structure, in meV/atom: i) 2106; ii) 0.

***

i) First-principles (PBE) data for a geometry-optimized YTa2Be structure, as listed in the Alexandria database.

Unit cell a=3.150 b=3.150 c=26.245 alpha=90.00 beta=90.00 gamma=120.00
Element x y z (fractional)
Y 0.000 0.000 0.000
Y 0.333 0.667 0.667
Y 0.667 0.333 0.333
Ta 0.000 0.000 0.230
Ta 0.000 0.000 0.770
Ta 0.333 0.667 0.437
Ta 0.333 0.667 0.897
Ta 0.667 0.333 0.103
Ta 0.667 0.333 0.563
Be 0.000 0.000 0.500
Be 0.333 0.667 0.167
Be 0.667 0.333 0.833

DOS at the Fermi energy = 1.2911 states/eV/atom

***

ii) First-principles (PBE) data for a geometry-optimized YTa2Be structure, as listed in the Alexandria database.

Unit cell a=3.117 b=3.117 c=27.101 alpha=90.00 beta=90.00 gamma=120.00
Element x y z (fractional)
Y 0.000 0.000 0.000
Y 0.333 0.667 0.667
Y 0.667 0.333 0.333
Ta 0.000 0.000 0.519
Ta 0.000 0.000 0.767
Ta 0.333 0.667 0.186
Ta 0.333 0.667 0.433
Ta 0.667 0.333 0.100
Ta 0.667 0.333 0.853
Be 0.000 0.000 0.252
Be 0.333 0.667 0.919
Be 0.667 0.333 0.586

DOS at the Fermi energy = 0.8316 states/eV/atom

***

How do the energies compare? Relative to the most stable structure, in meV/atom: i) 37; ii) 0.

***

i) First-principles (PBE) data for a geometry-optimized YTa2Be structure, as listed in the Alexandria database.

Unit cell a=9.266 b=3.055 c=5.632 alpha=90.00 beta=101.11 gamma=90.00
Element x y z (fractional)
Y 0.000 0.000 0.000
Y 0.500 0.500 0.000
Ta 0.037 0.500 0.536
Ta 0.285 0.500 0.336
Ta 0.537 0.000 0.536
Ta 0.785 0.000 0.336
Be 0.260 0.000 0.707
Be 0.760 0.500 0.707

DOS at the Fermi energy = 0.9114 states/eV/atom

***

ii) First-principles (PBE) data for a geometry-optimized YTa2Be structure, as listed in the Alexandria database.

Unit cell a=6.621 b=6.621 c=6.621 alpha=90.00 beta=90.00 gamma=90.00
Element x y z (fractional)
Y 0.000 0.000 0.000
Y 0.000 0.500 0.500
Y 0.500 0.000 0.500
Y 0.500 0.500 0.000
Ta 0.250 0.250 0.250
Ta 0.250 0.250 0.750
Ta 0.250 0.750 0.250
Ta 0.250 0.750 0.750
Ta 0.750 0.250 0.250
Ta 0.750 0.250 0.750
Ta 0.750 0.750 0.250
Ta 0.750 0.750 0.750
Be 0.000 0.000 0.500
Be 0.000 0.500 0.000
Be 0.500 0.000 0.000
Be 0.500 0.500 0.500

DOS at the Fermi energy = 1.3569 states/eV/atom

***

iii) First-principles (PBE) data for a geometry-optimized YTa2Be structure, as listed in the Alexandria database.

Unit cell a=6.681 b=6.681 c=6.681 alpha=90.00 beta=90.00 gamma=90.00
Element x y z (fractional)
Y 0.000 0.000 0.000
Y 0.000 0.500 0.500
Y 0.500 0.000 0.500
Y 0.500 0.500 0.000
Ta 0.000 0.000 0.500
Ta 0.000 0.500 0.000
Ta 0.250 0.250 0.250
Ta 0.250 0.750 0.750
Ta 0.500 0.000 0.000
Ta 0.500 0.500 0.500
Ta 0.750 0.250 0.750
Ta 0.750 0.750 0.250
Be 0.250 0.250 0.750
Be 0.250 0.750 0.250
Be 0.750 0.250 0.250
Be 0.750 0.750 0.750

DOS at the Fermi energy = 1.0715 states/eV/atom

***

iv) First-principles (PBE) data for a geometry-optimized YTa2Be structure, as listed in the Alexandria database.

Unit cell a=5.686 b=9.385 c=2.876 alpha=90.00 beta=90.00 gamma=90.00
Element x y z (fractional)
Y 0.000 0.000 0.000
Y 0.500 0.500 0.000
Ta 0.250 0.250 0.500
Ta 0.250 0.750 0.500
Ta 0.750 0.250 0.500
Ta 0.750 0.750 0.500
Be 0.000 0.500 0.000
Be 0.500 0.000 0.000

DOS at the Fermi energy = 1.2122 states/eV/atom

***

How do the energies compare? Relative to the most stable structure, in meV/atom: i) 0; ii) 354; iii) 9; iv) 240.

***

i) First-principles (PBE) data for a geometry-optimized YTa2Be structure, as listed in the Alexandria database.

Unit cell a=4.086 b=4.086 c=4.505 alpha=90.00 beta=90.00 gamma=90.00
Element x y z (fractional)
Y 0.000 0.000 0.000
Ta 0.000 0.500 0.500
Ta 0.500 0.000 0.500
Be 0.500 0.500 0.000

DOS at the Fermi energy = 0.9098 states/eV/atom

***

ii) First-principles (PBE) data for a geometry-optimized YTa2Be structure, as listed in the Alexandria database.

Unit cell a=4.070 b=3.454 c=11.317 alpha=90.00 beta=90.00 gamma=90.00
Element x y z (fractional)
Y 0.000 0.000 0.000
Y 0.000 0.500 0.500
Ta 0.000 0.000 0.732
Ta 0.000 0.500 0.232
Ta 0.500 0.000 0.297
Ta 0.500 0.500 0.797
Be 0.500 0.000 0.605
Be 0.500 0.500 0.105

DOS at the Fermi energy = 0.8414 states/eV/atom

***

How do the energies compare? Relative to the most stable structure, in meV/atom: i) 168; ii) 0.

***

i) First-principles (PBE) data for a geometry-optimized YTa2Be structure, as listed in the Alexandria database.

Unit cell a=3.170 b=4.892 c=5.089 alpha=90.00 beta=99.63 gamma=90.00
Element x y z (fractional)
Y 0.000 0.000 0.000
Ta 0.362 0.500 0.727
Ta 0.638 0.500 0.273
Be 0.500 0.000 0.500

DOS at the Fermi energy = 0.9821 states/eV/atom

***

ii) First-principles (PBE) data for a geometry-optimized YTa2Be structure, as listed in the Alexandria database.

Unit cell a=2.895 b=2.895 c=8.751 alpha=90.00 beta=90.00 gamma=90.00
Element x y z (fractional)
Y 0.000 0.000 0.000
Ta 0.000 0.000 0.424
Ta 0.500 0.500 0.686
Be 0.500 0.500 0.236

DOS at the Fermi energy = 1.1119 states/eV/atom

***

iii) First-principles (PBE) data for a geometry-optimized YTa2Be structure, as listed in the Alexandria database.

Unit cell a=3.259 b=4.623 c=5.042 alpha=90.00 beta=90.00 gamma=90.00
Element x y z (fractional)
Y 0.000 0.000 0.000
Ta 0.000 0.500 0.500
Ta 0.500 0.000 0.500
Be 0.500 0.500 0.000

DOS at the Fermi energy = 1.1519 states/eV/atom

***

How do the energies compare? Relative to the most stable structure, in meV/atom: i) 141; ii) 0; iii) 150.